[1]
The following is a DFT calculation (GGA-PBE) of a relaxed NiAg2Rh crystal.

a b c (Å): 4.915 4.915 4.757
angles (deg): 79.27 79.27 32.77
Each line ends with the local moment (μB).
Atoms (fractional coordinates):
Ag 0.005 0.005 0.996  0.01
Ag 0.495 0.495 0.504  0.01
Ni 0.750 0.750 0.750  0.45
Rh 0.250 0.250 0.250  0.53

* mass density: 10.27 Mg/m³
* ΔH_f (0 K): 278 meV/atom
* E_tot: -4.43 eV/atom
* total moment: 1.0 μB per formula unit
* energy above the most stable polymorph in this dataset: 0.129 eV/atom
* symmetry: No. 12
* crystal system: monoclinic



[2]
The following is a DFT calculation (GGA-PBE) of a relaxed Dy3Tl2Cd4 crystal.

a b c (Å): 4.968 6.086 9.370
angles (deg): 115.95 90.00 114.09
Atoms (fractional coordinates):
Dy 0.666 0.333 0.670
Dy 0.000 0.000 0.000
Dy 0.334 0.667 0.330
Tl 0.608 0.215 0.271
Tl 0.392 0.785 0.729
Cd 0.714 0.427 0.040
Cd 0.286 0.573 0.960
Cd 0.929 0.857 0.591
Cd 0.071 0.143 0.409

* mass density: 9.85 Mg/m³
* ΔH_f (0 K): -293 meV/atom
* E_tot: -2.76 eV/atom
* total moment: 0.0 μB per formula unit
* energy above the most stable polymorph in this dataset: 0.025 eV/atom
* symmetry: No. 12
* crystal system: monoclinic



[3]
The following is a DFT calculation (GGA-PBE) of a relaxed NdTm6In crystal.

a b c (Å): 4.872 4.872 9.899
angles (deg): 90.00 90.00 90.00
Atoms (fractional coordinates):
Nd 0.000 0.000 0.500
Tm 0.500 0.500 0.000
Tm 0.500 0.500 0.500
Tm 0.500 0.000 0.242
Tm 0.500 0.000 0.758
Tm 0.000 0.500 0.242
Tm 0.000 0.500 0.758
In 0.000 0.000 0.000

* mass density: 8.99 Mg/m³
* ΔH_f (0 K): -100 meV/atom
* E_tot: -4.39 eV/atom
* total moment: 0.0 μB per formula unit
* energy above the most stable polymorph in this dataset: 0.000 eV/atom
* symmetry: No. 123
* crystal system: tetragonal



[4]
The following is a DFT calculation (GGA-PBE) of a relaxed Mg2GaP2Rh5 crystal.

a b c (Å): 3.336 9.402 9.402
angles (deg): 90.00 90.00 90.00
Atoms (fractional coordinates):
Mg 0.000 0.672 0.172
Mg 0.000 0.328 0.828
Mg 0.000 0.172 0.328
Mg 0.000 0.828 0.672
Ga 0.000 0.000 0.000
Ga 0.000 0.500 0.500
P 0.000 0.129 0.629
P 0.000 0.871 0.371
P 0.000 0.629 0.871
P 0.000 0.371 0.129
Rh 0.500 0.209 0.074
Rh 0.500 0.791 0.926
Rh 0.500 0.074 0.791
Rh 0.500 0.709 0.426
Rh 0.500 0.926 0.209
Rh 0.500 0.291 0.574
Rh 0.500 0.574 0.709
Rh 0.500 0.426 0.291
Rh 0.500 0.500 0.000
Rh 0.500 0.000 0.500

* mass density: 7.82 Mg/m³
* ΔH_f (0 K): -711 meV/atom
* E_tot: -6.09 eV/atom
* total moment: 0.0 μB per formula unit
* symmetry: No. 127
* crystal system: tetragonal